# PtRhCl

A relaxed PtRhCl crystal (PBE, Alexandria via LeMat-Bulk).

## Properties
The space-group type is I4mm (107). The calculation puts the calculated volume at 51 Å³/cell. The value obtained for the magnetization is 2.37 μB per formula unit. The total DFT energy (no corrections) is -13.9 eV/cell.

```
data_PtRhCl
_symmetry_space_group_name_H-M 'P 1'
_symmetry_Int_Tables_number 1
_symmetry_space_group_name_Hall 'P 1'
_cell_length_a 6.2135
_cell_length_b 6.2135
_cell_length_c 6.2135
_cell_angle_alpha 152.50
_cell_angle_beta 152.50
_cell_angle_gamma 39.29
loop_
_atom_site_label
_atom_site_type_symbol
_atom_site_fract_x
_atom_site_fract_y
_atom_site_fract_z
Pt1 Pt 0.0000 0.0000 0.0000
Rh1 Rh 0.3529 0.3529 0.0000
Cl1 Cl 0.7026 0.7026 0.0000
```


# PtRh4Cl

A relaxed PtRh4Cl crystal (PBE, Alexandria via LeMat-Bulk).

## Properties
The space-group type is F-43m (216). The calculation puts the calculated volume at 98 Å³/cell. The value obtained for the magnetization is 2.59 μB per formula unit. The total DFT energy (no corrections) is -32.7 eV/cell.

```
data_PtRh4Cl
_symmetry_space_group_name_H-M 'P 1'
_symmetry_Int_Tables_number 1
_symmetry_space_group_name_Hall 'P 1'
_cell_length_a 5.1728
_cell_length_b 5.1728
_cell_length_c 5.1728
_cell_angle_alpha 60.00
_cell_angle_beta 60.00
_cell_angle_gamma 60.00
loop_
_atom_site_label
_atom_site_type_symbol
_atom_site_fract_x
_atom_site_fract_y
_atom_site_fract_z
Pt1 Pt 0.0000 0.0000 0.0000
Rh1 Rh 0.1253 0.6249 0.6249
Rh2 Rh 0.6249 0.1253 0.6249
Rh3 Rh 0.6249 0.6249 0.1253
Rh4 Rh 0.6249 0.6249 0.6249
Cl1 Cl 0.2500 0.2500 0.2500
```


# PtRhSCl2

A relaxed PtRhSCl2 crystal (PBE, Alexandria via LeMat-Bulk).

## Properties
The space-group type is P4/mmm (123). The calculation puts the calculated volume at 103 Å³/cell. The value obtained for the magnetization is 1.18 μB per formula unit. The total DFT energy (no corrections) is -18.0 eV/cell.

```
data_PtRhSCl2
_symmetry_space_group_name_H-M 'P 1'
_symmetry_Int_Tables_number 1
_symmetry_space_group_name_Hall 'P 1'
_cell_length_a 4.7491
_cell_length_b 4.7491
_cell_length_c 4.5782
_cell_angle_alpha 90.00
_cell_angle_beta 90.00
_cell_angle_gamma 90.00
loop_
_atom_site_label
_atom_site_type_symbol
_atom_site_fract_x
_atom_site_fract_y
_atom_site_fract_z
Pt1 Pt 0.0000 0.0000 0.0000
Rh1 Rh 0.5000 0.5000 0.5000
S1 S 0.5000 0.5000 0.0000
Cl1 Cl 0.0000 0.5000 0.5000
Cl2 Cl 0.5000 0.0000 0.5000
```


# PtRhS2Cl

A relaxed PtRhS2Cl crystal (PBE, Alexandria via LeMat-Bulk).

## Properties
The space-group type is P4/mmm (123). The calculation puts the calculated volume at 106 Å³/cell. The value obtained for the magnetization is 2.86 μB per formula unit. The total DFT energy (no corrections) is -19.3 eV/cell.

```
data_PtRhS2Cl
_symmetry_space_group_name_H-M 'P 1'
_symmetry_Int_Tables_number 1
_symmetry_space_group_name_Hall 'P 1'
_cell_length_a 4.6840
_cell_length_b 4.6840
_cell_length_c 4.8458
_cell_angle_alpha 90.00
_cell_angle_beta 90.00
_cell_angle_gamma 90.00
loop_
_atom_site_label
_atom_site_type_symbol
_atom_site_fract_x
_atom_site_fract_y
_atom_site_fract_z
Pt1 Pt 0.0000 0.0000 0.0000
Rh1 Rh 0.5000 0.5000 0.5000
S1 S 0.0000 0.5000 0.0000
S2 S 0.5000 0.0000 0.0000
Cl1 Cl 0.0000 0.0000 0.5000
```


# PtRhSCl2

A relaxed PtRhSCl2 crystal (PBE, Alexandria via LeMat-Bulk).

## Properties
The space-group type is P4/mmm (123). The calculation puts the calculated volume at 111 Å³/cell. The value obtained for the magnetization is 2.30 μB per formula unit. The total DFT energy (no corrections) is -17.8 eV/cell.

```
data_PtRhSCl2
_symmetry_space_group_name_H-M 'P 1'
_symmetry_Int_Tables_number 1
_symmetry_space_group_name_Hall 'P 1'
_cell_length_a 4.8712
_cell_length_b 4.8712
_cell_length_c 4.6627
_cell_angle_alpha 90.00
_cell_angle_beta 90.00
_cell_angle_gamma 90.00
loop_
_atom_site_label
_atom_site_type_symbol
_atom_site_fract_x
_atom_site_fract_y
_atom_site_fract_z
Pt1 Pt 0.0000 0.0000 0.0000
Rh1 Rh 0.5000 0.5000 0.5000
S1 S 0.0000 0.0000 0.5000
Cl1 Cl 0.0000 0.5000 0.0000
Cl2 Cl 0.5000 0.0000 0.0000
```


# PtRhS2Cl

A relaxed PtRhS2Cl crystal (PBE, Alexandria via LeMat-Bulk).

## Properties
The space-group type is P4/mmm (123). The calculation puts the calculated volume at 99 Å³/cell. The value obtained for the magnetization is 0.00 μB per formula unit. The total DFT energy (no corrections) is -19.7 eV/cell.

```
data_PtRhS2Cl
_symmetry_space_group_name_H-M 'P 1'
_symmetry_Int_Tables_number 1
_symmetry_space_group_name_Hall 'P 1'
_cell_length_a 4.6262
_cell_length_b 4.6262
_cell_length_c 4.6216
_cell_angle_alpha 90.00
_cell_angle_beta 90.00
_cell_angle_gamma 90.00
loop_
_atom_site_label
_atom_site_type_symbol
_atom_site_fract_x
_atom_site_fract_y
_atom_site_fract_z
Pt1 Pt 0.0000 0.0000 0.0000
Rh1 Rh 0.5000 0.5000 0.5000
S1 S 0.0000 0.5000 0.5000
S2 S 0.5000 0.0000 0.5000
Cl1 Cl 0.5000 0.5000 0.0000
```


# SbPtRh2Cl

A relaxed SbPtRh2Cl crystal (PBE, Alexandria via LeMat-Bulk).

## Properties
The space-group type is P4/mmm (123). The calculation puts the calculated volume at 94 Å³/cell. The value obtained for the magnetization is 0.00 μB per formula unit. The total DFT energy (no corrections) is -23.3 eV/cell.

```
data_SbPtRh2Cl
_symmetry_space_group_name_H-M 'P 1'
_symmetry_Int_Tables_number 1
_symmetry_space_group_name_Hall 'P 1'
_cell_length_a 4.4862
_cell_length_b 4.4862
_cell_length_c 4.6596
_cell_angle_alpha 90.00
_cell_angle_beta 90.00
_cell_angle_gamma 90.00
loop_
_atom_site_label
_atom_site_type_symbol
_atom_site_fract_x
_atom_site_fract_y
_atom_site_fract_z
Sb1 Sb 0.0000 0.0000 0.0000
Pt1 Pt 0.5000 0.5000 0.0000
Rh1 Rh 0.0000 0.5000 0.5000
Rh2 Rh 0.5000 0.0000 0.5000
Cl1 Cl 0.5000 0.5000 0.5000
```


# PtRhSe2Cl

A relaxed PtRhSe2Cl crystal (PBE, Alexandria via LeMat-Bulk).

## Properties
The space-group type is P4/mmm (123). The calculation puts the calculated volume at 126 Å³/cell. The value obtained for the magnetization is 2.96 μB per formula unit. The total DFT energy (no corrections) is -18.2 eV/cell.

```
data_PtRhSe2Cl
_symmetry_space_group_name_H-M 'P 1'
_symmetry_Int_Tables_number 1
_symmetry_space_group_name_Hall 'P 1'
_cell_length_a 4.8045
_cell_length_b 4.8045
_cell_length_c 5.4615
_cell_angle_alpha 90.00
_cell_angle_beta 90.00
_cell_angle_gamma 90.00
loop_
_atom_site_label
_atom_site_type_symbol
_atom_site_fract_x
_atom_site_fract_y
_atom_site_fract_z
Pt1 Pt 0.0000 0.0000 0.0000
Rh1 Rh 0.0000 0.0000 0.5000
Se1 Se 0.0000 0.5000 0.0000
Se2 Se 0.5000 0.0000 0.0000
Cl1 Cl 0.5000 0.5000 0.5000
```


# Sm8PtRh3Cl4

A relaxed Sm8PtRh3Cl4 crystal (PBE, Alexandria via LeMat-Bulk).

## Properties
The space-group type is C2/m (12). The calculation puts the calculated volume at 429 Å³/cell. The value obtained for the magnetization is 0.00 μB per formula unit. The total DFT energy (no corrections) is -92.8 eV/cell.

```
data_Sm8PtRh3Cl4
_symmetry_space_group_name_H-M 'P 1'
_symmetry_Int_Tables_number 1
_symmetry_space_group_name_Hall 'P 1'
_cell_length_a 8.1420
_cell_length_b 8.1420
_cell_length_c 8.8297
_cell_angle_alpha 117.53
_cell_angle_beta 117.53
_cell_angle_gamma 60.03
loop_
_atom_site_label
_atom_site_type_symbol
_atom_site_fract_x
_atom_site_fract_y
_atom_site_fract_z
Sm1 Sm 0.2300 0.7376 0.7043
Sm2 Sm 0.2353 0.2353 0.7050
Sm3 Sm 0.2624 0.2624 0.2958
Sm4 Sm 0.2624 0.7700 0.2957
Sm5 Sm 0.7376 0.2300 0.7043
Sm6 Sm 0.7376 0.7376 0.7042
Sm7 Sm 0.7647 0.7647 0.2950
Sm8 Sm 0.7700 0.2624 0.2957
Pt1 Pt 0.5000 0.5000 0.5000
Rh1 Rh 0.0000 0.0000 0.5000
Rh2 Rh 0.0000 0.5000 0.5000
Rh3 Rh 0.5000 0.0000 0.5000
Cl1 Cl 0.0000 0.0000 0.0000
Cl2 Cl 0.0000 0.5000 0.0000
Cl3 Cl 0.5000 0.0000 0.0000
Cl4 Cl 0.5000 0.5000 0.0000
```


# Sm4PtRhCl2

A relaxed Sm4PtRhCl2 crystal (PBE, Alexandria via LeMat-Bulk).

## Properties
The space-group type is P2/m (10). The calculation puts the calculated volume at 217 Å³/cell. The value obtained for the magnetization is 0.00 μB per formula unit. The total DFT energy (no corrections) is -46.1 eV/cell.

```
data_Sm4PtRhCl2
_symmetry_space_group_name_H-M 'P 1'
_symmetry_Int_Tables_number 1
_symmetry_space_group_name_Hall 'P 1'
_cell_length_a 7.1383
_cell_length_b 4.0864
_cell_length_c 7.8295
_cell_angle_alpha 90.00
_cell_angle_beta 108.33
_cell_angle_gamma 90.00
loop_
_atom_site_label
_atom_site_type_symbol
_atom_site_fract_x
_atom_site_fract_y
_atom_site_fract_z
Sm1 Sm 0.2344 0.0000 0.2044
Sm2 Sm 0.2556 0.5000 0.7950
Sm3 Sm 0.7444 0.5000 0.2050
Sm4 Sm 0.7656 0.0000 0.7956
Pt1 Pt 0.5000 0.0000 0.0000
Rh1 Rh 0.0000 0.5000 0.0000
Cl1 Cl 0.0000 0.0000 0.5000
Cl2 Cl 0.5000 0.5000 0.5000
```


# SrPtRhCl2

A relaxed SrPtRhCl2 crystal (PBE, Alexandria via LeMat-Bulk).

## Properties
The space-group type is P4/mmm (123). The calculation puts the calculated volume at 168 Å³/cell. The value obtained for the magnetization is 2.32 μB per formula unit. The total DFT energy (no corrections) is -17.0 eV/cell.

```
data_SrPtRhCl2
_symmetry_space_group_name_H-M 'P 1'
_symmetry_Int_Tables_number 1
_symmetry_space_group_name_Hall 'P 1'
_cell_length_a 5.3800
_cell_length_b 5.3800
_cell_length_c 5.8188
_cell_angle_alpha 90.00
_cell_angle_beta 90.00
_cell_angle_gamma 90.00
loop_
_atom_site_label
_atom_site_type_symbol
_atom_site_fract_x
_atom_site_fract_y
_atom_site_fract_z
Sr1 Sr 0.0000 0.0000 0.0000
Pt1 Pt 0.0000 0.0000 0.5000
Rh1 Rh 0.5000 0.5000 0.5000
Cl1 Cl 0.0000 0.5000 0.0000
Cl2 Cl 0.5000 0.0000 0.0000
```


# RuPt4Cl

A relaxed RuPt4Cl crystal (PBE, Alexandria via LeMat-Bulk).

## Properties
The space-group type is F-43m (216). The calculation puts the calculated volume at 106 Å³/cell. The value obtained for the magnetization is 4.05 μB per formula unit. The total DFT energy (no corrections) is -31.4 eV/cell.

```
data_RuPt4Cl
_symmetry_space_group_name_H-M 'P 1'
_symmetry_Int_Tables_number 1
_symmetry_space_group_name_Hall 'P 1'
_cell_length_a 5.3127
_cell_length_b 5.3127
_cell_length_c 5.3127
_cell_angle_alpha 60.00
_cell_angle_beta 60.00
_cell_angle_gamma 60.00
loop_
_atom_site_label
_atom_site_type_symbol
_atom_site_fract_x
_atom_site_fract_y
_atom_site_fract_z
Ru1 Ru 0.0000 0.0000 0.0000
Pt1 Pt 0.1238 0.6254 0.6254
Pt2 Pt 0.6254 0.1238 0.6254
Pt3 Pt 0.6254 0.6254 0.1238
Pt4 Pt 0.6254 0.6254 0.6254
Cl1 Cl 0.2500 0.2500 0.2500
```